*P*
A plane-wave DFT calculation with PBE-GGA was carried out for a relaxed Ce2Pu crystal.

Results
- DOS at the Fermi energy (states/eV/atom) = 1.623
- space-group type = P-31m (162)
- density (g/cm³) = 11.630

a b c (Å): 6.308 6.308 6.515
angles (deg): 90.00 90.00 120.00
Positions (direct):
Ce 0.000 0.347 0.236
Ce 0.000 0.653 0.764
Ce 0.347 0.000 0.236
Ce 0.347 0.347 0.764
Ce 0.653 0.000 0.764
Ce 0.653 0.653 0.236
Pu 0.000 0.000 0.500
Pu 0.333 0.667 0.000
Pu 0.667 0.333 0.000



*Q*
A plane-wave DFT calculation with PBE-GGA was carried out for a relaxed Ce2Pu crystal.

Results
- DOS at the Fermi energy (states/eV/atom) = 2.669
- space-group type = I4/mmm (139)
- density (g/cm³) = 11.454

a b c (Å): 3.310 3.310 13.876
angles (deg): 90.00 90.00 90.00
Positions (direct):
Ce 0.000 0.000 0.165
Ce 0.000 0.000 0.835
Ce 0.500 0.500 0.335
Ce 0.500 0.500 0.665
Pu 0.000 0.000 0.500
Pu 0.500 0.500 0.000



What are the relative energies? In meV/atom: *P* 167; *Q* 0.



*P*
A plane-wave DFT calculation with PBE-GGA was carried out for a relaxed CePu2Re crystal.

Results
- DOS at the Fermi energy (states/eV/atom) = 3.068
- space-group type = Fm-3m (225)
- density (g/cm³) = 15.518

a b c (Å): 7.038 7.038 7.038
angles (deg): 90.00 90.00 90.00
Positions (direct):
Ce 0.000 0.000 0.000
Ce 0.000 0.500 0.500
Ce 0.500 0.000 0.500
Ce 0.500 0.500 0.000
Pu 0.250 0.250 0.250
Pu 0.250 0.250 0.750
Pu 0.250 0.750 0.250
Pu 0.250 0.750 0.750
Pu 0.750 0.250 0.250
Pu 0.750 0.250 0.750
Pu 0.750 0.750 0.250
Pu 0.750 0.750 0.750
Re 0.000 0.000 0.500
Re 0.000 0.500 0.000
Re 0.500 0.000 0.000
Re 0.500 0.500 0.500



*Q*
A plane-wave DFT calculation with PBE-GGA was carried out for a relaxed CePu2Re crystal.

Results
- DOS at the Fermi energy (states/eV/atom) = 2.865
- space-group type = P4/mmm (123)
- density (g/cm³) = 15.674

a b c (Å): 3.401 3.401 7.460
angles (deg): 90.00 90.00 90.00
Positions (direct):
Ce 0.000 0.000 0.000
Pu 0.500 0.500 0.277
Pu 0.500 0.500 0.723
Re 0.000 0.000 0.500



What are the relative energies? In meV/atom: *P* 0; *Q* 19.



*P*
A plane-wave DFT calculation with PBE-GGA was carried out for a relaxed CePu2Rh2 crystal.

Results
- DOS at the Fermi energy (states/eV/atom) = 2.368
- space-group type = Cmc2_1 (36)
- density (g/cm³) = 13.546

a b c (Å): 5.084 5.084 12.343
angles (deg): 90.00 90.00 140.14
Positions (direct):
Ce 0.221 0.779 0.500
Ce 0.779 0.221 0.000
Pu 0.012 0.988 0.649
Pu 0.331 0.669 0.233
Pu 0.669 0.331 0.733
Pu 0.988 0.012 0.149
Rh 0.085 0.915 0.918
Rh 0.373 0.627 0.822
Rh 0.627 0.373 0.322
Rh 0.915 0.085 0.418



*Q*
A plane-wave DFT calculation with PBE-GGA was carried out for a relaxed CePu2Rh2 crystal.

Results
- DOS at the Fermi energy (states/eV/atom) = 2.320
- space-group type = R-3m (166)
- density (g/cm³) = 14.020

a b c (Å): 4.860 4.860 14.492
angles (deg): 90.00 90.00 120.00
Positions (direct):
Ce 0.000 0.000 0.000
Ce 0.333 0.667 0.667
Ce 0.667 0.333 0.333
Pu 0.000 0.000 0.407
Pu 0.000 0.000 0.593
Pu 0.333 0.667 0.073
Pu 0.333 0.667 0.260
Pu 0.667 0.333 0.740
Pu 0.667 0.333 0.927
Rh 0.000 0.000 0.204
Rh 0.000 0.000 0.796
Rh 0.333 0.667 0.463
Rh 0.333 0.667 0.871
Rh 0.667 0.333 0.129
Rh 0.667 0.333 0.537



What are the relative energies? In meV/atom: *P* 129; *Q* 0.



*P*
A plane-wave DFT calculation with PBE-GGA was carried out for a relaxed Ce2PuRh9 crystal.

Results
- DOS at the Fermi energy (states/eV/atom) = 1.657
- space-group type = P4/mmm (123)
- density (g/cm³) = 12.030

a b c (Å): 4.058 4.058 12.159
angles (deg): 90.00 90.00 90.00
Positions (direct):
Ce 0.000 0.000 0.167
Ce 0.000 0.000 0.833
Pu 0.000 0.000 0.500
Rh 0.000 0.500 0.000
Rh 0.000 0.500 0.338
Rh 0.000 0.500 0.662
Rh 0.500 0.000 0.000
Rh 0.500 0.000 0.338
Rh 0.500 0.000 0.662
Rh 0.500 0.500 0.168
Rh 0.500 0.500 0.500
Rh 0.500 0.500 0.832



*Q*
A plane-wave DFT calculation with PBE-GGA was carried out for a relaxed Ce2PuRh9 crystal.

Results
- DOS at the Fermi energy (states/eV/atom) = 1.473
- space-group type = R-3m (166)
- density (g/cm³) = 11.369

a b c (Å): 9.347 9.347 9.347
angles (deg): 32.69 32.69 32.69
Positions (direct):
Ce 0.138 0.138 0.138
Ce 0.862 0.862 0.862
Pu 0.000 0.000 0.000
Rh 0.081 0.584 0.584
Rh 0.333 0.333 0.333
Rh 0.416 0.416 0.919
Rh 0.416 0.919 0.416
Rh 0.500 0.500 0.500
Rh 0.584 0.081 0.584
Rh 0.584 0.584 0.081
Rh 0.667 0.667 0.667
Rh 0.919 0.416 0.416



What are the relative energies? In meV/atom: *P* 0; *Q* 62.



*P*
A plane-wave DFT calculation with PBE-GGA was carried out for a relaxed Ce2PuRh crystal.

Results
- DOS at the Fermi energy (states/eV/atom) = 2.570
- space-group type = P4/mmm (123)
- density (g/cm³) = 11.300

a b c (Å): 3.521 3.521 7.434
angles (deg): 90.00 90.00 90.00
Positions (direct):
Ce 0.000 0.000 0.224
Ce 0.000 0.000 0.776
Pu 0.500 0.500 0.500
Rh 0.500 0.500 0.000



*Q*
A plane-wave DFT calculation with PBE-GGA was carried out for a relaxed Ce2PuRh crystal.

Results
- DOS at the Fermi energy (states/eV/atom) = 2.081
- space-group type = R3m (160)
- density (g/cm³) = 10.112

a b c (Å): 3.916 3.916 23.261
angles (deg): 90.00 90.00 120.00
Positions (direct):
Ce 0.000 0.000 0.000
Ce 0.000 0.000 0.190
Ce 0.333 0.667 0.667
Ce 0.333 0.667 0.857
Ce 0.667 0.333 0.333
Ce 0.667 0.333 0.524
Pu 0.000 0.000 0.443
Pu 0.333 0.667 0.110
Pu 0.667 0.333 0.776
Rh 0.000 0.000 0.595
Rh 0.333 0.667 0.262
Rh 0.667 0.333 0.929



What are the relative energies? In meV/atom: *P* 0; *Q* 95.



*P*
A plane-wave DFT calculation with PBE-GGA was carried out for a relaxed Ce2PuRh crystal.

Results
- DOS at the Fermi energy (states/eV/atom) = 0.809
- space-group type = R-3m (166)
- density (g/cm³) = 12.865

a b c (Å): 3.629 3.629 21.297
angles (deg): 90.00 90.00 120.00
Positions (direct):
Ce 0.000 0.000 0.242
Ce 0.000 0.000 0.758
Ce 0.333 0.667 0.425
Ce 0.333 0.667 0.908
Ce 0.667 0.333 0.092
Ce 0.667 0.333 0.575
Pu 0.000 0.000 0.500
Pu 0.333 0.667 0.167
Pu 0.667 0.333 0.833
Rh 0.000 0.000 0.000
Rh 0.333 0.667 0.667
Rh 0.667 0.333 0.333



*Q*
A plane-wave DFT calculation with PBE-GGA was carried out for a relaxed Ce2PuRh crystal.

Results
- DOS at the Fermi energy (states/eV/atom) = 1.947
- space-group type = Fm-3m (225)
- density (g/cm³) = 11.533

a b c (Å): 7.122 7.122 7.122
angles (deg): 90.00 90.00 90.00
Positions (direct):
Ce 0.250 0.250 0.250
Ce 0.250 0.250 0.750
Ce 0.250 0.750 0.250
Ce 0.250 0.750 0.750
Ce 0.750 0.250 0.250
Ce 0.750 0.250 0.750
Ce 0.750 0.750 0.250
Ce 0.750 0.750 0.750
Pu 0.000 0.000 0.000
Pu 0.000 0.500 0.500
Pu 0.500 0.000 0.500
Pu 0.500 0.500 0.000
Rh 0.000 0.000 0.500
Rh 0.000 0.500 0.000
Rh 0.500 0.000 0.000
Rh 0.500 0.500 0.500



*R*
A plane-wave DFT calculation with PBE-GGA was carried out for a relaxed Ce2PuRh crystal.

Results
- DOS at the Fermi energy (states/eV/atom) = 1.883
- space-group type = C2/c (15)
- density (g/cm³) = 11.560

a b c (Å): 10.216 6.953 6.778
angles (deg): 90.00 131.55 90.00
Positions (direct):
Ce 0.250 0.082 0.241
Ce 0.250 0.418 0.759
Ce 0.250 0.582 0.259
Ce 0.250 0.918 0.741
Ce 0.750 0.082 0.259
Ce 0.750 0.418 0.741
Ce 0.750 0.582 0.241
Ce 0.750 0.918 0.759
Pu 0.000 0.250 0.750
Pu 0.000 0.750 0.250
Pu 0.500 0.250 0.250
Pu 0.500 0.750 0.750
Rh 0.000 0.251 0.250
Rh 0.000 0.749 0.750
Rh 0.500 0.249 0.750
Rh 0.500 0.751 0.250



What are the relative energies? In meV/atom: *P* 420; *Q* 52; *R* 0.